NaCoCSO7: optimized geometry, PBEsol.

As for the space-group type: P2_1, No. 4. The raw formation energy is -127.5 kJ per mole of atoms.

Cell lengths 4.9690, 6.5433, 9.0178 Å; angles 90.00, 90.57, 90.00 degrees
Atoms (fractional coordinates):
Na1 0.2099 0.0000 0.2205
Na2 0.7901 0.5000 0.7795
Co1 0.2306 0.7959 0.6525
Co2 0.7694 0.2959 0.3475
C1 0.3286 0.7958 0.9039
C2 0.6714 0.2958 0.0961
S1 0.2843 0.2872 0.5723
S2 0.7157 0.7872 0.4277
O1 0.0854 0.7892 0.8423
O2 0.1313 0.2808 0.4298
O3 0.2137 0.4691 0.6611
O4 0.2310 0.1067 0.6638
O5 0.3810 0.8114 0.0365
O6 0.4206 0.7998 0.4642
O7 0.4945 0.2858 0.2055
O8 0.5055 0.7858 0.7945
O9 0.5794 0.2998 0.5358
O10 0.6190 0.3114 0.9635
O11 0.7690 0.6067 0.3362
O12 0.7863 0.9691 0.3389
O13 0.8687 0.7808 0.5702
O14 0.9146 0.2892 0.1577